No. 1
## CaTlNi2 (GGA-PBE)

Data for an optimized crystal structure of CaTlNi2.

```
data_CaTlNi2
_cell_length_a 10.651
_cell_length_b 3.360
_cell_length_c 4.528
_cell_angle_alpha 90.00
_cell_angle_beta 114.88
_cell_angle_gamma 90.00
_symmetry_space_group_name_H-M 'C 1 m 1'
_symmetry_Int_Tables_number 8
_symmetry_space_group_name_Hall 'C -2y'
loop_
_atom_site_label
_atom_site_fract_x
_atom_site_fract_y
_atom_site_fract_z
Ca1 0.000 0.000 0.000
Tl1 0.217 0.000 0.715
Ni1 0.289 0.500 0.286
Ni2 0.473 0.000 0.474
```

For the volume, the calculation gives 18.38 A^3/atom. As for the energy relative to the elements: 0.29 eV per formula unit.

---

No. 2
## Sm2ScHg5 (GGA-PBE)

Data for an optimized crystal structure of Sm2ScHg5.

```
data_Sm2ScHg5
_cell_length_a 5.134
_cell_length_b 5.134
_cell_length_c 14.877
_cell_angle_alpha 90.00
_cell_angle_beta 90.00
_cell_angle_gamma 90.00
_symmetry_space_group_name_H-M 'I 4/m m m'
_symmetry_Int_Tables_number 139
_symmetry_space_group_name_Hall '-I 4 2'
loop_
_atom_site_label
_atom_site_fract_x
_atom_site_fract_y
_atom_site_fract_z
Sm1 0.000 0.000 0.239
Sc1 0.000 0.000 0.500
Hg1 0.000 0.000 0.000
Hg2 0.000 0.500 0.116
```

For the volume, the calculation gives 24.51 A^3/atom. As for the energy relative to the elements: -2.89 eV per formula unit.

---

No. 3
## ScCu2Os (GGA-PBE)

Data for an optimized crystal structure of ScCu2Os.

```
data_ScCu2Os
_cell_length_a 3.730
_cell_length_b 3.730
_cell_length_c 18.539
_cell_angle_alpha 90.00
_cell_angle_beta 90.00
_cell_angle_gamma 90.00
_symmetry_space_group_name_H-M 'I -4 2 d'
_symmetry_Int_Tables_number 122
_symmetry_space_group_name_Hall 'I -4 2bw'
loop_
_atom_site_label
_atom_site_fract_x
_atom_site_fract_y
_atom_site_fract_z
Sc1 0.000 0.000 0.000
Cu1 0.217 0.250 0.625
Os1 0.000 0.000 0.500
```

For the volume, the calculation gives 16.12 A^3/atom. As for the energy relative to the elements: 1.43 eV per formula unit. The energy above the most stable polymorph in this dataset comes out at 415.5 meV/atom.

---

No. 4
## BaTaTe4 (GGA-PBE)

Data for an optimized crystal structure of BaTaTe4.

```
data_BaTaTe4
_cell_length_a 9.124
_cell_length_b 9.124
_cell_length_c 9.124
_cell_angle_alpha 90.00
_cell_angle_beta 90.00
_cell_angle_gamma 90.00
_symmetry_space_group_name_H-M 'F -4 3 m'
_symmetry_Int_Tables_number 216
_symmetry_space_group_name_Hall 'F -4 2 3'
loop_
_atom_site_label
_atom_site_fract_x
_atom_site_fract_y
_atom_site_fract_z
Ba1 0.000 0.000 0.000
Ta1 0.250 0.250 0.750
Te1 0.124 0.124 0.376
```

For the volume, the calculation gives 31.64 A^3/atom. For the energy relative to the elements, uncorrected, the calculation gives 0.53 eV/atom. The energy above the most stable polymorph in this dataset comes out at 1183.6 meV/atom.

---

No. 5
## MgNiOs3 (GGA-PBE)

Data for an optimized crystal structure of MgNiOs3.

```
data_MgNiOs3
_cell_length_a 4.462
_cell_length_b 4.462
_cell_length_c 4.462
_cell_angle_alpha 90.00
_cell_angle_beta 90.00
_cell_angle_gamma 90.00
_symmetry_space_group_name_H-M 'P m -3 m'
_symmetry_Int_Tables_number 221
_symmetry_space_group_name_Hall '-P 4 2 3'
loop_
_atom_site_label
_atom_site_fract_x
_atom_site_fract_y
_atom_site_fract_z
Mg1 0.000 0.000 0.000
Ni1 0.500 0.500 0.500
Os1 0.000 0.500 0.500
```

For the volume, the calculation gives 17.77 A^3/atom. As for the energy relative to the elements: 8.34 eV per formula unit. The energy above the most stable polymorph in this dataset comes out at 0.0 meV/atom.

---

No. 6
## PuMgMnOs (GGA-PBE)

Data for an optimized crystal structure of PuMgMnOs.

```
data_PuMgMnOs
_cell_length_a 6.512
_cell_length_b 6.512
_cell_length_c 6.512
_cell_angle_alpha 90.00
_cell_angle_beta 90.00
_cell_angle_gamma 90.00
_symmetry_space_group_name_H-M 'F -4 3 m'
_symmetry_Int_Tables_number 216
_symmetry_space_group_name_Hall 'F -4 2 3'
loop_
_atom_site_label
_atom_site_fract_x
_atom_site_fract_y
_atom_site_fract_z
Pu1 0.000 0.000 0.000
Mg1 0.000 0.000 0.500
Mn1 0.250 0.250 0.250
Os1 0.250 0.250 0.750
```

For the volume, the calculation gives 17.26 A^3/atom. As for the energy relative to the elements: 0.25 eV per formula unit.